P:
# MgBW2 (GGA-PBE, relaxed)
data_MgBW2
_cell_length_a 6.0196
_cell_length_b 6.0196
_cell_length_c 6.0196
_cell_angle_alpha 90.00
_cell_angle_beta 90.00
_cell_angle_gamma 90.00
_space_group_name_H-M_alt 'F m -3 m'
_space_group_IT_number 225
_space_group_name_Hall '-F 4 2 3'
loop_
_atom_site_label
_atom_site_fract_x
_atom_site_fract_y
_atom_site_fract_z
Mg1 0.0000 0.0000 0.0000
B1 0.0000 0.0000 0.5000
W1 0.2500 0.2500 0.2500
# Total magnetization (μB/f.u.): 0.00

---

Q:
# MgBW2 (GGA-PBE, relaxed)
data_MgBW2
_cell_length_a 3.6964
_cell_length_b 3.6964
_cell_length_c 18.2486
_cell_angle_alpha 90.00
_cell_angle_beta 90.00
_cell_angle_gamma 90.00
_space_group_name_H-M_alt 'I -4 2 d'
_space_group_IT_number 122
_space_group_name_Hall 'I -4 2bw'
loop_
_atom_site_label
_atom_site_fract_x
_atom_site_fract_y
_atom_site_fract_z
Mg1 0.0000 0.0000 0.0000
B1 0.0000 0.0000 0.5000
W1 0.2320 0.2500 0.6250
# Total magnetization (μB/f.u.): 0.00

---

Q comes first in stability; the runner-up is 0.028 eV/atom higher.

---

P:
# Mg3BW (GGA-PBE, relaxed)
data_Mg3BW
_cell_length_a 5.2715
_cell_length_b 5.2715
_cell_length_c 5.2715
_cell_angle_alpha 90.00
_cell_angle_beta 90.00
_cell_angle_gamma 90.00
_space_group_name_H-M_alt 'P m -3 m'
_space_group_IT_number 221
_space_group_name_Hall '-P 4 2 3'
loop_
_atom_site_label
_atom_site_fract_x
_atom_site_fract_y
_atom_site_fract_z
Mg1 0.0000 0.0000 0.5000
B1 0.5000 0.5000 0.5000
W1 0.0000 0.0000 0.0000
# Total magnetization (μB/f.u.): 2.54

---

Q:
# Mg3BW (GGA-PBE, relaxed)
data_Mg3BW
_cell_length_a 4.4277
_cell_length_b 4.4277
_cell_length_c 4.4277
_cell_angle_alpha 90.00
_cell_angle_beta 90.00
_cell_angle_gamma 90.00
_space_group_name_H-M_alt 'P m -3 m'
_space_group_IT_number 221
_space_group_name_Hall '-P 4 2 3'
loop_
_atom_site_label
_atom_site_fract_x
_atom_site_fract_y
_atom_site_fract_z
Mg1 0.0000 0.0000 0.5000
B1 0.0000 0.0000 0.0000
W1 0.5000 0.5000 0.5000
# Total magnetization (μB/f.u.): 0.00

---

Q comes first in stability; the runner-up is 1.076 eV/atom higher.